Entry 1:
First-principles (PBE-GGA) data for a geometry-optimized Ce3Pm2SmAs6 structure, as listed in the Alexandria database.

calculated formation energy: -1.48 eV per atom
symmetry: No. 12
V: 26.6 Å³/atom

Cell: 7.3141 7.3141 7.3122 Å, 99.60 99.60 120.00°
Closest atoms and distances in Å follow each position.
Positions (direct):
As1 0.0844 0.4169 0.2532  3 Ce 2.97-2.98, 1 Sm 2.99, 2 Pm 3.00
Sm1 0.0000 0.0000 0.0000  6 As 2.99
Ce1 0.8331 0.1669 0.5000  6 As 2.97-2.98
Pm1 0.6666 0.3334 0.0000  6 As 3.00
Ce2 0.1669 0.8331 0.5000  6 As 2.97-2.98
Pm2 0.3334 0.6666 0.0000  6 As 3.00
Ce3 0.5000 0.5000 0.5000  6 As 2.97-2.98
As2 0.2480 0.2480 0.7465  3 Ce 2.97-2.98, 1 Sm 2.99, 2 Pm 3.00
As3 0.5831 0.9156 0.7468  3 Ce 2.97-2.98, 1 Sm 2.99, 2 Pm 3.00
As4 0.9156 0.5831 0.7468  3 Ce 2.97-2.98, 1 Sm 2.99, 2 Pm 3.00
As5 0.7520 0.7520 0.2535  3 Ce 2.97-2.98, 1 Sm 2.99, 2 Pm 3.00
As6 0.4169 0.0844 0.2532  3 Ce 2.97-2.98, 1 Sm 2.99, 2 Pm 3.00



Entry 2:
First-principles (PBE-GGA) data for a geometry-optimized Ce2Pm3SmAs6 structure, as listed in the Alexandria database.

calculated formation energy: -1.50 eV per atom
symmetry: No. 12
V: 26.7 Å³/atom

Cell: 4.2277 8.4556 9.4443 Å, 102.91 102.93 90.00°
Closest atoms and distances in Å follow each position.
Positions (direct):
As1 0.0012 0.2499 0.0024  1 Ce 2.96, 2 Sm 2.99, 3 Pm 2.99-3.00
As2 0.9988 0.7501 0.9976  1 Ce 2.96, 2 Sm 2.99, 3 Pm 2.99-3.00
As3 0.6677 0.5813 0.3353  3 Ce 2.98, 3 Pm 3.00-3.01
Sm1 0.5000 0.0000 0.0000  6 As 2.98-2.99
Ce1 0.8338 0.6676 0.6677  6 As 2.96-2.98
Pm1 0.5000 0.5000 0.0000  6 As 2.99-3.00
Pm2 0.1661 0.8343 0.3321  6 As 3.00-3.01
As4 0.6664 0.0864 0.3329  2 Ce 2.97, 1 Sm 2.98, 3 Pm 3.00
As5 0.3336 0.9136 0.6671  2 Ce 2.97, 1 Sm 2.98, 3 Pm 3.00
As6 0.3323 0.4187 0.6647  3 Ce 2.98, 3 Pm 3.00-3.01
Ce2 0.1662 0.3324 0.3323  6 As 2.96-2.98
Pm3 0.8339 0.1657 0.6679  6 As 3.00-3.01



Entry 3:
First-principles (PBE-GGA) data for a geometry-optimized Sr3Ce2PmAs6 structure, as listed in the Alexandria database.

calculated formation energy: -1.26 eV per atom
symmetry: No. 12
V: 29.1 Å³/atom

Cell: 7.5205 7.5205 7.5602 Å, 99.55 99.55 120.03°
Closest atoms and distances in Å follow each position.
Positions (direct):
Ce1 0.3333 0.6667 0.0000  6 As 2.95
As1 0.9258 0.5864 0.7773  2 Ce 2.95, 1 Pm 3.01, 3 Sr 3.17-3.21
Sr1 0.5000 0.5000 0.5000  6 As 3.16-3.21
Ce2 0.6667 0.3333 0.0000  6 As 2.95
As2 0.5864 0.9258 0.7773  2 Ce 2.95, 1 Pm 3.01, 3 Sr 3.17-3.21
As3 0.4136 0.0742 0.2227  2 Ce 2.95, 1 Pm 3.01, 3 Sr 3.17-3.21
Sr2 0.1650 0.8350 0.5000  6 As 3.17-3.21
Pm1 0.0000 0.0000 0.0000  6 As 3.00-3.01
As4 0.0742 0.4136 0.2227  2 Ce 2.95, 1 Pm 3.01, 3 Sr 3.17-3.21
As5 0.2652 0.2652 0.7777  2 Ce 2.95, 1 Pm 3.00, 3 Sr 3.16-3.20
Sr3 0.8350 0.1650 0.5000  6 As 3.17-3.21
As6 0.7348 0.7348 0.2223  2 Ce 2.95, 1 Pm 3.00, 3 Sr 3.16-3.20



Entry 4:
First-principles (PBE-GGA) data for a geometry-optimized SrCe2PmAs4 structure, as listed in the Alexandria database.

calculated formation energy: -1.38 eV per atom
symmetry: No. 10
V: 27.8 Å³/atom

Cell: 4.2809 7.4050 7.4420 Å, 70.58 90.00 90.00°
Closest atoms and distances in Å follow each position.
Positions (direct):
As1 0.5000 0.7597 0.2543  3 Ce 2.95-3.01, 2 Pm 3.05, 1 Sr 3.11
Pm1 0.0000 0.5000 0.5000  6 As 3.05-3.06
As2 0.0000 0.2314 0.2645  3 Ce 2.93-3.01, 1 Pm 3.06, 2 Sr 3.13
Ce1 0.5000 0.0000 0.5000  6 As 2.93-2.95
Sr1 0.5000 0.5000 0.0000  6 As 3.11-3.13
Ce2 0.0000 0.0000 0.0000  6 As 3.01
As3 0.0000 0.7686 0.7355  3 Ce 2.93-3.01, 1 Pm 3.06, 2 Sr 3.13
As4 0.5000 0.2403 0.7457  3 Ce 2.95-3.01, 2 Pm 3.05, 1 Sr 3.11



Entry 5:
First-principles (PBE-GGA) data for a geometry-optimized SrCePm2As4 structure, as listed in the Alexandria database.

calculated formation energy: -1.37 eV per atom
symmetry: No. 10
V: 27.8 Å³/atom

Cell: 4.2831 7.4160 7.4112 Å, 70.96 90.00 90.00°
Closest atoms and distances in Å follow each position.
Positions (direct):
As1 0.0000 0.7556 0.7346  1 Ce 2.96, 3 Pm 2.97-3.08, 2 Sr 3.10
As2 0.0000 0.2444 0.2654  1 Ce 2.96, 3 Pm 2.97-3.08, 2 Sr 3.10
As3 0.5000 0.7500 0.2594  3 Pm 2.96-3.06, 2 Ce 3.01, 1 Sr 3.08
Pm1 0.5000 0.0000 0.5000  6 As 2.96-2.97
Pm2 0.0000 0.0000 0.0000  6 As 3.06-3.08
As4 0.5000 0.2500 0.7406  3 Pm 2.96-3.06, 2 Ce 3.01, 1 Sr 3.08
Sr1 0.5000 0.5000 0.0000  6 As 3.08-3.10
Ce1 0.0000 0.5000 0.5000  6 As 2.96-3.01



Entry 6:
First-principles (PBE-GGA) data for a geometry-optimized Tb3Ce2PmAs6 structure, as listed in the Alexandria database.

calculated formation energy: -1.50 eV per atom
symmetry: No. 12
V: 25.8 Å³/atom

Cell: 7.2433 7.2433 7.2324 Å, 99.60 99.60 119.99°
Closest atoms and distances in Å follow each position.
Positions (direct):
As1 0.5795 0.9155 0.7467  3 Tb 2.93-2.95, 2 Ce 2.96, 1 Pm 2.98
Pm1 0.0000 0.0000 0.0000  6 As 2.98-2.99
Ce1 0.3331 0.6669 0.0000  6 As 2.96-2.97
As2 0.2514 0.2514 0.7460  3 Tb 2.92-2.94, 2 Ce 2.97, 1 Pm 2.99
As3 0.7486 0.7486 0.2540  3 Tb 2.92-2.94, 2 Ce 2.97, 1 Pm 2.99
As4 0.9155 0.5795 0.7467  3 Tb 2.93-2.95, 2 Ce 2.96, 1 Pm 2.98
Tb1 0.1660 0.8340 0.5000  6 As 2.93-2.95
As5 0.0845 0.4205 0.2533  3 Tb 2.93-2.95, 2 Ce 2.96, 1 Pm 2.98
Tb2 0.5000 0.5000 0.5000  6 As 2.92-2.95
Ce2 0.6669 0.3331 0.0000  6 As 2.96-2.97
Tb3 0.8340 0.1660 0.5000  6 As 2.93-2.95
As6 0.4205 0.0845 0.2533  3 Tb 2.93-2.95, 2 Ce 2.96, 1 Pm 2.98



Entry 7:
First-principles (PBE-GGA) data for a geometry-optimized Tb4Ce3PmAs8 structure, as listed in the Alexandria database.

calculated formation energy: -1.50 eV per atom
symmetry: No. 166
V: 25.8 Å³/atom

Cell: 8.3623 8.3533 8.3629 Å, 120.04 120.00 90.00°
Closest atoms and distances in Å follow each position.
Positions (direct):
Tb1 0.5000 0.0000 0.5000  6 As 2.94-2.95
As1 0.7493 0.7535 0.0014  3 Tb 2.93-2.95, 2 Ce 2.96, 1 Pm 2.98
As2 0.2521 0.7535 0.0014  3 Tb 2.93-2.95, 2 Ce 2.96, 1 Pm 2.98
Ce1 0.5000 0.5000 0.0000  6 As 2.96-2.97
As3 0.7479 0.2465 0.9986  3 Tb 2.93-2.95, 2 Ce 2.96, 1 Pm 2.98
As4 0.7479 0.2465 0.4958  3 Tb 2.93-2.95, 2 Ce 2.96, 1 Pm 2.98
Ce2 0.5000 0.5000 0.5000  6 As 2.96-2.97
Tb2 0.0000 0.0000 0.5000  6 As 2.94-2.95
Ce3 0.0000 0.5000 0.5000  6 As 2.96-2.97
As5 0.2507 0.2465 0.9986  3 Tb 2.93-2.95, 2 Ce 2.96, 1 Pm 2.98
Tb3 0.0000 0.0000 0.0000  6 As 2.94-2.95
As6 0.2488 0.2466 0.4977  3 Tb 2.94, 3 Ce 2.97
Pm1 0.0000 0.5000 0.0000  6 As 2.98
As7 0.7512 0.7534 0.5023  3 Tb 2.94, 3 Ce 2.97
As8 0.2521 0.7535 0.5042  3 Tb 2.93-2.95, 2 Ce 2.96, 1 Pm 2.98
Tb4 0.5000 0.0000 0.0000  6 As 2.93



Entry 8:
First-principles (PBE-GGA) data for a geometry-optimized Tb2CePm3As6 structure, as listed in the Alexandria database.

calculated formation energy: -1.52 eV per atom
symmetry: No. 12
V: 26.2 Å³/atom

Cell: 4.2033 8.4041 9.3856 Å, 102.98 102.94 90.00°
Closest atoms and distances in Å follow each position.
Positions (direct):
As1 0.6652 0.0864 0.3305  1 Ce 2.94, 2 Tb 2.96, 3 Pm 2.98-3.01
Pm1 0.5000 0.5000 0.0000  6 As 2.99
As2 0.3321 0.4202 0.6642  3 Tb 2.93-2.94, 3 Pm 2.98-2.99
Pm2 0.1674 0.8316 0.3348  6 As 2.98-3.01
Tb1 0.1677 0.3354 0.3355  6 As 2.93-2.96
As3 0.0015 0.2474 0.0029  2 Ce 2.95, 1 Tb 2.96, 3 Pm 2.99-3.01
Ce1 0.5000 0.0000 0.0000  6 As 2.94-2.95
As4 0.6679 0.5798 0.3358  3 Tb 2.93-2.94, 3 Pm 2.98-2.99
Tb2 0.8323 0.6646 0.6645  6 As 2.93-2.96
As5 0.9985 0.7526 0.9971  2 Ce 2.95, 1 Tb 2.96, 3 Pm 2.99-3.01
As6 0.3348 0.9136 0.6695  1 Ce 2.94, 2 Tb 2.96, 3 Pm 2.98-3.01
Pm3 0.8326 0.1684 0.6652  6 As 2.98-3.01